The following is a PBE-GGA calculation of a relaxed PaGeRh crystal, from Alexandria via LeMat-Bulk.

As for the symmetry: Immm, No. 71. Its density of states at the Fermi level is 1.5 states/eV/f.u. The value obtained for the formation energy is -0.699 eV per atom. The value obtained for the final energy is -47.13 eV per cell.

abc: 5.558 5.558 5.558
angles: 132.69 105.45 93.18
Fractional positions:
1 Pa 0.225 0.000 0.225
2 Pa 0.775 0.000 0.775
3 Ge 0.339 0.339 0.000
4 Ge 0.661 0.661 0.000
5 Rh 0.187 0.687 0.500
6 Rh 0.813 0.313 0.500